Density functional theory data (PBE+U) for a geometry-optimized Co2Ru2F structure.

Summary:
Magnetization: 4.9 μB/f.u.
SG: Pm
Volume: 13.20 Å³ per atom
Polymorph energy (0 for the lowest one): 0 meV per atom
Crystal system: monoclinic

Cell: 7.576 2.723 7.507 Å, 90.00 121.56 90.00°
Atoms (fractional coordinates):
Ru  0.301  0.000  0.908
Ru  0.041  0.500  0.561
Ru  0.343  0.000  0.592
Ru  0.999  0.000  0.236
Co  0.685  0.000  0.275
Co  0.980  0.500  0.884
Co  0.623  0.500  0.974
Co  0.294  0.500  0.217
F  0.526  0.000  0.415
F  0.686  0.500  0.743